1.
{
  "formula": "Sm3TmSc2Te6",
  "functional": "PBE-GGA",
  "state": "relaxed",
  "cell": [[9.4802, -2.1472, 0.0000], [9.4802, 2.1472, 0.0000], [-2.1885, 0.0000, 8.4601]],
  "species": ["Sm", "Sm", "Sm", "Tm", "Sc", "Sc", "Te", "Te", "Te", "Te", "Te", "Te"],
  "fractional_positions": [[0.0000, 0.0000, 0.0000], [0.3362, 0.3362, 0.6719], [0.6638, 0.6638, 0.3281], [0.0000, 0.0000, 0.5000], [0.3321, 0.3321, 0.1651], [0.6679, 0.6679, 0.8349], [0.1654, 0.1654, 0.5957], [0.1714, 0.1714, 0.0697], [0.4930, 0.4930, 0.2549], [0.5070, 0.5070, 0.7451], [0.8286, 0.8286, 0.9303], [0.8346, 0.8346, 0.4043]],
  "raw_formation_energy_ev_per_atom": -1.25,
  "space_group": "C2/m (12)"
}

---

2.
{
  "formula": "Na5Hf3H12",
  "functional": "PBE-GGA",
  "state": "relaxed",
  "cell": [[-6.0151, 6.0151, 6.0151], [6.0151, -6.0151, 6.0151], [6.0151, 6.0151, -6.0151]],
  "species": ["Na", "Na", "Na", "Na", "Na", "Na", "Na", "Na", "Na", "Na", "Na", "Na", "Na", "Na", "Na", "Na", "Na", "Na", "Na", "Na", "Hf", "Hf", "Hf", "Hf", "Hf", "Hf", "Hf", "Hf", "Hf", "Hf", "Hf", "Hf", "H", "H", "H", "H", "H", "H", "H", "H", "H", "H", "H", "H", "H", "H", "H", "H", "H", "H", "H", "H", "H", "H", "H", "H", "H", "H", "H", "H", "H", "H", "H", "H", "H", "H", "H", "H", "H", "H", "H", "H", "H", "H", "H", "H", "H", "H", "H", "H"],
  "fractional_positions": [[0.0000, 0.0000, 0.0000], [0.0000, 0.0000, 0.5000], [0.0000, 0.5000, 0.0000], [0.0000, 0.5000, 0.5000], [0.1250, 0.7500, 0.8750], [0.1250, 0.8750, 0.2500], [0.2500, 0.1250, 0.8750], [0.2500, 0.6250, 0.3750], [0.3750, 0.2500, 0.6250], [0.3750, 0.6250, 0.7500], [0.5000, 0.0000, 0.0000], [0.5000, 0.0000, 0.5000], [0.5000, 0.5000, 0.0000], [0.5000, 0.5000, 0.5000], [0.6250, 0.3750, 0.2500], [0.6250, 0.7500, 0.3750], [0.7500, 0.3750, 0.6250], [0.7500, 0.8750, 0.1250], [0.8750, 0.1250, 0.7500], [0.8750, 0.2500, 0.1250], [0.1250, 0.2500, 0.3750], [0.1250, 0.3750, 0.7500], [0.2500, 0.3750, 0.1250], [0.2500, 0.8750, 0.6250], [0.3750, 0.1250, 0.2500], [0.3750, 0.7500, 0.1250], [0.6250, 0.2500, 0.8750], [0.6250, 0.8750, 0.7500], [0.7500, 0.1250, 0.3750], [0.7500, 0.6250, 0.8750], [0.8750, 0.6250, 0.2500], [0.8750, 0.7500, 0.6250], [0.0744, 0.2387, 0.1537], [0.0744, 0.3357, 0.9207], [0.0793, 0.6537, 0.4151], [0.0793, 0.9256, 0.6643], [0.0849, 0.7387, 0.6643], [0.0849, 0.8463, 0.4207], [0.1537, 0.0744, 0.2387], [0.1537, 0.5793, 0.9151], [0.1643, 0.2387, 0.5849], [0.1643, 0.4256, 0.5793], [0.2387, 0.1537, 0.0744], [0.2387, 0.5849, 0.1643], [0.2613, 0.3357, 0.9151], [0.2613, 0.4256, 0.3463], [0.3357, 0.9151, 0.2613], [0.3357, 0.9207, 0.0744], [0.3463, 0.2613, 0.4256], [0.3463, 0.5849, 0.9207], [0.4151, 0.0793, 0.6537], [0.4151, 0.8357, 0.7613], [0.4207, 0.0849, 0.8463], [0.4207, 0.8357, 0.5744], [0.4256, 0.3463, 0.2613], [0.4256, 0.5793, 0.1643], [0.5744, 0.4207, 0.8357], [0.5744, 0.6537, 0.7387], [0.5793, 0.1643, 0.4256], [0.5793, 0.9151, 0.1537], [0.5849, 0.1643, 0.2387], [0.5849, 0.9207, 0.3463], [0.6537, 0.4151, 0.0793], [0.6537, 0.7387, 0.5744], [0.6643, 0.0793, 0.9256], [0.6643, 0.0849, 0.7387], [0.7387, 0.5744, 0.6537], [0.7387, 0.6643, 0.0849], [0.7613, 0.4151, 0.8357], [0.7613, 0.8463, 0.9256], [0.8357, 0.5744, 0.4207], [0.8357, 0.7613, 0.4151], [0.8463, 0.4207, 0.0849], [0.8463, 0.9256, 0.7613], [0.9151, 0.1537, 0.5793], [0.9151, 0.2613, 0.3357], [0.9207, 0.0744, 0.3357], [0.9207, 0.3463, 0.5849], [0.9256, 0.6643, 0.0793], [0.9256, 0.7613, 0.8463]],
  "space_group": "Ia-3d (230)",
  "energy_ev_per_cell": -312.0
}

---

3.
{
  "formula": "CoAgMo",
  "functional": "PBE-GGA",
  "state": "relaxed",
  "cell": [[2.7351, 0.0000, 0.0000], [0.0000, 3.6107, 0.0000], [0.0000, 0.0000, 8.8894]],
  "species": ["Co", "Co", "Ag", "Ag", "Mo", "Mo"],
  "fractional_positions": [[0.0000, 0.0000, 0.0000], [0.5000, 0.5000, 0.5000], [0.0000, 0.0000, 0.3228], [0.5000, 0.5000, 0.8228], [0.0000, 0.0000, 0.6303], [0.5000, 0.5000, 0.1303]],
  "space_group": "Imm2 (44)",
  "e_above_lowest_polymorph_mev_per_atom": 97,
  "formation_enthalpy_0k_ev_per_atom": 0.43
}

---

4.
{
  "formula": "Y2AgAs",
  "functional": "PBE-GGA",
  "state": "relaxed",
  "cell": [[7.2604, 0.0000, 0.0000], [0.0000, 7.2604, 0.0000], [0.0000, 0.0000, 7.2604]],
  "species": ["Y", "Y", "Y", "Y", "Y", "Y", "Y", "Y", "Ag", "Ag", "Ag", "Ag", "As", "As", "As", "As"],
  "fractional_positions": [[0.0000, 0.0000, 0.0000], [0.0000, 0.5000, 0.5000], [0.2500, 0.2500, 0.2500], [0.2500, 0.7500, 0.7500], [0.5000, 0.0000, 0.5000], [0.5000, 0.5000, 0.0000], [0.7500, 0.2500, 0.7500], [0.7500, 0.7500, 0.2500], [0.0000, 0.0000, 0.5000], [0.0000, 0.5000, 0.0000], [0.5000, 0.0000, 0.0000], [0.5000, 0.5000, 0.5000], [0.2500, 0.2500, 0.7500], [0.2500, 0.7500, 0.2500], [0.7500, 0.2500, 0.2500], [0.7500, 0.7500, 0.7500]],
  "space_group": "F-43m (216)",
  "formation_enthalpy_0k_ev_per_atom": 0.02
}

---

Please write out number 4 again, unchanged.
{
  "formula": "Y2AgAs",
  "functional": "PBE-GGA",
  "state": "relaxed",
  "cell": [[7.2604, 0.0000, 0.0000], [0.0000, 7.2604, 0.0000], [0.0000, 0.0000, 7.2604]],
  "species": ["Y", "Y", "Y", "Y", "Y", "Y", "Y", "Y", "Ag", "Ag", "Ag", "Ag", "As", "As", "As", "As"],
  "fractional_positions": [[0.0000, 0.0000, 0.0000], [0.0000, 0.5000, 0.5000], [0.2500, 0.2500, 0.2500], [0.2500, 0.7500, 0.7500], [0.5000, 0.0000, 0.5000], [0.5000, 0.5000, 0.0000], [0.7500, 0.2500, 0.7500], [0.7500, 0.7500, 0.2500], [0.0000, 0.0000, 0.5000], [0.0000, 0.5000, 0.0000], [0.5000, 0.0000, 0.0000], [0.5000, 0.5000, 0.5000], [0.2500, 0.2500, 0.7500], [0.2500, 0.7500, 0.2500], [0.7500, 0.2500, 0.2500], [0.7500, 0.7500, 0.7500]],
  "space_group": "F-43m (216)",
  "formation_enthalpy_0k_ev_per_atom": 0.02
}